Density functional theory data (GGA-PBEsol) for a geometry-optimized TmAlNi4 structure.

Offset from the most stable computed form   71 meV/atom
V   13.4 Å³ per atom

The structure in POSCAR format:
```
TmAlNi4
1.0
4.942 0.000 0.000
-2.471 4.280 0.000
0.000 0.000 3.813
Tm Al Ni
1 1 4
Direct
0.000 0.000 0.000
0.667 0.333 0.000
0.004 0.502 0.500
0.333 0.667 0.000
0.498 0.502 0.500
0.498 0.996 0.500
```